A plane-wave DFT calculation with PBE was carried out for a geometry-optimized ErLuAl2Fe4 structure.

Computed properties:
E: -6.530 eV/atom

abc: 3.935 4.899 6.760
angles: 90.00 90.00 90.00
Site moments in Bohr magnetons follow the coordinates.
Fractional coordinates of all 8 atoms:
Fe1 0.000 0.000 0.100  1.84
Fe2 0.500 0.251 0.001  1.94
Fe3 0.500 0.749 0.001  1.94
Fe4 0.000 0.500 0.904  1.85
Lu1 0.000 0.500 0.307  -0.16
Er1 0.000 0.000 0.689  -0.19
Al1 0.500 0.500 0.662  -0.03
Al2 0.500 0.000 0.336  -0.03